VASP calculation (GGA+U) on LiFeBiO4 after structural relaxation.

```
LiFeBiO4
1.0
-2.9860 3.4703 4.3670
2.9860 -3.4703 4.3670
2.9860 3.4703 -4.3670
Li Fe Bi O
2 2 2 8
direct
0.3590 0.1090 0.2500
0.6410 0.8910 0.7500
0.0000 0.0000 0.5000
0.0000 0.5000 0.0000
0.0000 0.5000 0.5000
0.5000 0.5000 0.0000
0.1899 0.2462 0.9437
0.1975 0.7538 0.4437
0.2292 0.2379 0.5087
0.2292 0.7205 0.9913
0.7708 0.2795 0.0087
0.7708 0.7621 0.4913
0.8025 0.2462 0.5563
0.8101 0.7538 0.0563
```

Results
- total energy (eV per atom) = -5.580